No. 1
An optimized crystal structure of TlGa4Au4. Source: Alexandria via LeMat-Bulk, functional PBE.

a = 6.366 Å, b = 6.366 Å, c = 7.749 Å
α = 118.70°, β = 118.70°, γ = 44.16°
Atoms (fractional coordinates):
Tl1 0.000 0.000 0.000
Ga1 0.097 0.097 0.464
Ga2 0.386 0.386 0.267
Ga3 0.614 0.614 0.733
Ga4 0.903 0.903 0.536
Au1 0.232 0.232 0.868
Au2 0.358 0.358 0.617
Au3 0.642 0.642 0.383
Au4 0.768 0.768 0.132

Properties
As for the total DFT energy (no corrections): -3.201 eV/atom.

No. 2
An optimized crystal structure of TlGa3Au10. Source: Alexandria via LeMat-Bulk, functional PBE.

a = 9.476 Å, b = 9.476 Å, c = 9.476 Å
α = 127.11°, β = 120.14°, γ = 83.95°
Atoms (fractional coordinates):
Tl1 0.232 0.232 0.000
Tl2 0.768 0.768 0.000
Ga1 0.216 0.716 0.500
Ga2 0.244 0.173 0.417
Ga3 0.244 0.827 0.071
Ga4 0.756 0.173 0.929
Ga5 0.756 0.827 0.583
Ga6 0.784 0.284 0.500
Au1 0.000 0.324 0.324
Au2 0.000 0.676 0.676
Au3 0.048 0.167 0.536
Au4 0.048 0.512 0.881
Au5 0.148 0.849 0.300
Au6 0.347 0.500 0.847
Au7 0.369 0.488 0.536
Au8 0.369 0.833 0.881
Au9 0.396 0.142 0.746
Au10 0.396 0.649 0.254
Au11 0.451 0.151 0.300
Au12 0.549 0.849 0.700
Au13 0.604 0.351 0.746
Au14 0.604 0.858 0.254
Au15 0.631 0.167 0.119
Au16 0.631 0.512 0.464
Au17 0.653 0.500 0.153
Au18 0.852 0.151 0.700
Au19 0.952 0.488 0.119
Au20 0.952 0.833 0.464

Properties
As for the total DFT energy (no corrections): -3.229 eV/atom.

No. 3
An optimized crystal structure of TlGaAu3. Source: Alexandria via LeMat-Bulk, functional PBE.

a = 4.998 Å, b = 4.998 Å, c = 4.998 Å
α = 90.00°, β = 90.00°, γ = 90.00°
Atoms (fractional coordinates):
Tl1 0.000 0.000 0.000
Ga1 0.500 0.500 0.500
Au1 0.000 0.500 0.500
Au2 0.500 0.000 0.500
Au3 0.500 0.500 0.000

Properties
Its energy above the most stable polymorph in this dataset is 16.4 kJ/mol of atoms. As for the total DFT energy (no corrections): -2.949 eV/atom.

No. 4
An optimized crystal structure of Tl4Ga2Au5. Source: Alexandria via LeMat-Bulk, functional PBE.

a = 12.057 Å, b = 12.057 Å, c = 12.057 Å
α = 136.43°, β = 51.50°, γ = 153.89°
Atoms (fractional coordinates):
Tl1 0.042 0.700 0.743
Tl2 0.129 0.094 0.223
Tl3 0.371 0.594 0.966
Tl4 0.458 0.200 0.658
Tl5 0.542 0.800 0.342
Tl6 0.629 0.406 0.034
Tl7 0.871 0.906 0.777
Tl8 0.958 0.300 0.257
Ga1 0.044 0.750 0.294
Ga2 0.456 0.750 0.706
Ga3 0.544 0.250 0.294
Ga4 0.956 0.250 0.706
Au1 0.102 0.412 0.514
Au2 0.246 0.737 0.983
Au3 0.250 0.250 0.000
Au4 0.254 0.237 0.491
Au5 0.398 0.912 0.310
Au6 0.602 0.088 0.690
Au7 0.746 0.763 0.509
Au8 0.750 0.750 0.000
Au9 0.754 0.263 0.017
Au10 0.898 0.588 0.486

Properties
As for the total DFT energy (no corrections): -2.949 eV/atom.

No. 5
An optimized crystal structure of Tl2Ga3Au9. Source: Alexandria via LeMat-Bulk, functional PBE.

a = 7.909 Å, b = 7.909 Å, c = 11.372 Å
α = 110.81°, β = 110.81°, γ = 59.62°
Atoms (fractional coordinates):
Tl1 0.082 0.251 0.250
Tl2 0.251 0.082 0.750
Tl3 0.749 0.918 0.250
Tl4 0.918 0.749 0.750
Ga1 0.000 0.500 0.000
Ga2 0.155 0.673 0.500
Ga3 0.327 0.845 0.000
Ga4 0.500 0.000 0.500
Ga5 0.673 0.155 0.000
Ga6 0.845 0.327 0.500
Au1 0.031 0.845 0.063
Au2 0.155 0.969 0.437
Au3 0.192 0.588 0.249
Au4 0.198 0.354 0.561
Au5 0.315 0.471 0.918
Au6 0.354 0.198 0.061
Au7 0.362 0.638 0.750
Au8 0.412 0.808 0.251
Au9 0.471 0.315 0.418
Au10 0.529 0.685 0.582
Au11 0.588 0.192 0.749
Au12 0.638 0.362 0.250
Au13 0.646 0.802 0.939
Au14 0.685 0.529 0.082
Au15 0.802 0.646 0.439
Au16 0.808 0.412 0.751
Au17 0.845 0.031 0.563
Au18 0.969 0.155 0.937

Properties
As for the total DFT energy (no corrections): -3.179 eV/atom.

No. 6
An optimized crystal structure of TlGaAu3. Source: Alexandria via LeMat-Bulk, functional PBE.

a = 5.342 Å, b = 5.342 Å, c = 5.342 Å
α = 90.00°, β = 90.00°, γ = 90.00°
Atoms (fractional coordinates):
Tl1 0.000 0.000 0.000
Ga1 0.500 0.500 0.500
Au1 0.000 0.000 0.500
Au2 0.000 0.500 0.000
Au3 0.500 0.000 0.000

Properties
Its energy above the most stable polymorph in this dataset is 62.3 kJ/mol of atoms. As for the total DFT energy (no corrections): -2.473 eV/atom.

No. 7
An optimized crystal structure of TlGaAu. Source: Alexandria via LeMat-Bulk, functional PBE.

a = 3.946 Å, b = 4.043 Å, c = 10.384 Å
α = 98.64°, β = 93.58°, γ = 114.30°
Atoms (fractional coordinates):
Tl1 0.000 0.000 0.000
Tl2 0.266 0.488 0.751
Ga1 0.136 0.316 0.436
Ga2 0.739 0.463 0.199
Au1 0.434 0.883 0.308
Au2 0.840 0.749 0.563

Properties
Its energy above the most stable polymorph in this dataset is 5.1 kJ/mol of atoms. As for the total DFT energy (no corrections): -2.956 eV/atom.

No. 8
An optimized crystal structure of TlGaAu. Source: Alexandria via LeMat-Bulk, functional PBE.

a = 6.177 Å, b = 6.177 Å, c = 6.177 Å
α = 147.12°, β = 147.12°, γ = 47.18°
Atoms (fractional coordinates):
Tl1 0.000 0.000 0.000
Ga1 0.295 0.295 0.000
Au1 0.692 0.692 0.000

Properties
Its energy above the most stable polymorph in this dataset is 7.4 kJ/mol of atoms. As for the total DFT energy (no corrections): -2.932 eV/atom.

No. 9
An optimized crystal structure of TlGa2Au3. Source: Alexandria via LeMat-Bulk, functional PBE.

a = 4.163 Å, b = 12.359 Å, c = 5.204 Å
α = 90.00°, β = 90.00°, γ = 90.00°
Atoms (fractional coordinates):
Tl1 0.250 0.250 0.194
Tl2 0.750 0.750 0.806
Ga1 0.250 0.555 0.151
Ga2 0.250 0.945 0.151
Ga3 0.750 0.055 0.849
Ga4 0.750 0.445 0.849
Au1 0.250 0.557 0.659
Au2 0.250 0.750 0.317
Au3 0.250 0.943 0.659
Au4 0.750 0.057 0.341
Au5 0.750 0.250 0.683
Au6 0.750 0.443 0.341

Properties
Its energy above the most stable polymorph in this dataset is 1.4 kJ/mol of atoms. As for the total DFT energy (no corrections): -3.178 eV/atom.

No. 10
An optimized crystal structure of Tl2Ga4Au9. Source: Alexandria via LeMat-Bulk, functional PBE.

a = 4.433 Å, b = 4.433 Å, c = 17.930 Å
α = 90.00°, β = 90.00°, γ = 120.00°
Atoms (fractional coordinates):
Tl1 0.333 0.667 0.258
Tl2 0.667 0.333 0.742
Ga1 0.333 0.667 0.596
Ga2 0.333 0.667 0.887
Ga3 0.667 0.333 0.113
Ga4 0.667 0.333 0.404
Au1 0.000 0.000 0.000
Au2 0.000 0.000 0.173
Au3 0.000 0.000 0.347
Au4 0.000 0.000 0.653
Au5 0.000 0.000 0.827
Au6 0.333 0.667 0.067
Au7 0.333 0.667 0.449
Au8 0.667 0.333 0.551
Au9 0.667 0.333 0.933

Properties
As for the total DFT energy (no corrections): -3.166 eV/atom.

No. 11
An optimized crystal structure of TlGa2Au2. Source: Alexandria via LeMat-Bulk, functional PBE.

a = 8.030 Å, b = 8.030 Å, c = 3.209 Å
α = 90.00°, β = 90.00°, γ = 90.00°
Atoms (fractional coordinates):
Tl1 0.000 0.000 0.000
Tl2 0.500 0.500 0.000
Ga1 0.163 0.337 0.500
Ga2 0.337 0.837 0.500
Ga3 0.663 0.163 0.500
Ga4 0.837 0.663 0.500
Au1 0.132 0.632 0.000
Au2 0.368 0.132 0.000
Au3 0.632 0.868 0.000
Au4 0.868 0.368 0.000

Properties
Its energy above the most stable polymorph in this dataset is 7.8 kJ/mol of atoms. As for the total DFT energy (no corrections): -3.058 eV/atom.

No. 12
An optimized crystal structure of TlGa2Au3. Source: Alexandria via LeMat-Bulk, functional PBE.

a = 6.995 Å, b = 6.995 Å, c = 5.565 Å
α = 90.00°, β = 90.00°, γ = 75.91°
Atoms (fractional coordinates):
Tl1 0.161 0.839 0.750
Tl2 0.839 0.161 0.250
Ga1 0.294 0.294 0.000
Ga2 0.294 0.294 0.500
Ga3 0.706 0.706 0.000
Ga4 0.706 0.706 0.500
Au1 0.024 0.594 0.250
Au2 0.406 0.976 0.250
Au3 0.436 0.564 0.250
Au4 0.564 0.436 0.750
Au5 0.594 0.024 0.750
Au6 0.976 0.406 0.750

Properties
Its energy above the most stable polymorph in this dataset is 0.0 kJ/mol of atoms. As for the total DFT energy (no corrections): -3.193 eV/atom.

No. 13
An optimized crystal structure of Tl2GaAu8. Source: Alexandria via LeMat-Bulk, functional PBE.

a = 7.953 Å, b = 7.953 Å, c = 5.507 Å
α = 101.91°, β = 101.91°, γ = 41.03°
Atoms (fractional coordinates):
Tl1 0.204 0.204 0.033
Tl2 0.796 0.796 0.967
Ga1 0.500 0.500 0.500
Au1 0.016 0.016 0.762
Au2 0.099 0.597 0.526
Au3 0.403 0.901 0.474
Au4 0.409 0.409 0.026
Au5 0.591 0.591 0.974
Au6 0.597 0.099 0.526
Au7 0.901 0.403 0.474
Au8 0.984 0.984 0.238

Properties
As for the total DFT energy (no corrections): -3.064 eV/atom.

No. 14
An optimized crystal structure of TlZnGaAu3. Source: Alexandria via LeMat-Bulk, functional PBE.

a = 8.304 Å, b = 8.304 Å, c = 5.608 Å
α = 90.00°, β = 90.00°, γ = 128.59°
Atoms (fractional coordinates):
Tl1 0.189 0.811 0.750
Tl2 0.811 0.189 0.250
Zn1 0.051 0.949 0.250
Zn2 0.949 0.051 0.750
Ga1 0.390 0.610 0.250
Ga2 0.610 0.390 0.750
Au1 0.224 0.776 0.250
Au2 0.291 0.291 0.000
Au3 0.291 0.291 0.500
Au4 0.709 0.709 0.000
Au5 0.709 0.709 0.500
Au6 0.776 0.224 0.750

Properties
As for the total DFT energy (no corrections): -2.790 eV/atom.

No. 15
An optimized crystal structure of TlZnGaAu2. Source: Alexandria via LeMat-Bulk, functional PBE.

a = 6.833 Å, b = 6.833 Å, c = 6.833 Å
α = 144.62°, β = 144.62°, γ = 50.90°
Atoms (fractional coordinates):
Tl1 0.000 0.000 0.000
Zn1 0.750 0.250 0.500
Ga1 0.250 0.750 0.500
Au1 0.385 0.385 0.000
Au2 0.615 0.615 0.000

Properties
As for the total DFT energy (no corrections): -2.766 eV/atom.

No. 16
An optimized crystal structure of TmGa2Au. Source: Alexandria via LeMat-Bulk, functional PBE.

a = 6.199 Å, b = 6.199 Å, c = 6.199 Å
α = 46.76°, β = 46.76°, γ = 46.76°
Atoms (fractional coordinates):
Tm1 0.000 0.000 0.000
Ga1 0.350 0.350 0.350
Ga2 0.650 0.650 0.650
Au1 0.500 0.500 0.500

Properties
As for the total DFT energy (no corrections): -3.309 eV/atom.

No. 17
An optimized crystal structure of Tm3Ga2Au. Source: Alexandria via LeMat-Bulk, functional PBE.

a = 11.495 Å, b = 4.476 Å, c = 10.828 Å
α = 90.00°, β = 90.00°, γ = 90.00°
Atoms (fractional coordinates):
Tm1 0.044 0.250 0.129
Tm2 0.134 0.750 0.579
Tm3 0.211 0.250 0.822
Tm4 0.289 0.750 0.322
Tm5 0.366 0.250 0.079
Tm6 0.456 0.750 0.629
Tm7 0.544 0.250 0.371
Tm8 0.634 0.750 0.921
Tm9 0.711 0.250 0.678
Tm10 0.789 0.750 0.178
Tm11 0.866 0.250 0.421
Tm12 0.956 0.750 0.871
Ga1 0.013 0.750 0.314
Ga2 0.180 0.750 0.030
Ga3 0.320 0.250 0.530
Ga4 0.487 0.250 0.814
Ga5 0.513 0.750 0.186
Ga6 0.680 0.750 0.470
Ga7 0.820 0.250 0.970
Ga8 0.987 0.250 0.686
Au1 0.126 0.250 0.388
Au2 0.374 0.750 0.888
Au3 0.626 0.250 0.112
Au4 0.874 0.750 0.612

Properties
Its energy above the most stable polymorph in this dataset is 4.0 kJ/mol of atoms. As for the total DFT energy (no corrections): -4.413 eV/atom.

No. 18
An optimized crystal structure of TmGa2Au2. Source: Alexandria via LeMat-Bulk, functional PBE.

a = 4.675 Å, b = 4.675 Å, c = 5.630 Å
α = 103.47°, β = 103.47°, γ = 57.61°
Atoms (fractional coordinates):
Tm1 0.000 0.000 0.000
Ga1 0.379 0.379 0.280
Ga2 0.621 0.621 0.720
Au1 0.288 0.288 0.709
Au2 0.712 0.712 0.291

Properties
As for the total DFT energy (no corrections): -3.953 eV/atom.

No. 19
An optimized crystal structure of Tm4GaAu2. Source: Alexandria via LeMat-Bulk, functional PBE.

a = 8.561 Å, b = 8.561 Å, c = 8.561 Å
α = 33.80°, β = 33.80°, γ = 33.80°
Atoms (fractional coordinates):
Tm1 0.122 0.122 0.122
Tm2 0.374 0.374 0.374
Tm3 0.626 0.626 0.626
Tm4 0.878 0.878 0.878
Ga1 0.500 0.500 0.500
Au1 0.251 0.251 0.251
Au2 0.749 0.749 0.749

Properties
As for the total DFT energy (no corrections): -4.541 eV/atom.

No. 20
An optimized crystal structure of TmGaAu3. Source: Alexandria via LeMat-Bulk, functional PBE.

a = 13.389 Å, b = 13.389 Å, c = 3.399 Å
α = 90.00°, β = 90.00°, γ = 159.46°
Atoms (fractional coordinates):
Tm1 0.182 0.818 0.000
Tm2 0.818 0.182 0.000
Ga1 0.374 0.626 0.500
Ga2 0.626 0.374 0.500
Au1 0.086 0.914 0.500
Au2 0.278 0.722 0.500
Au3 0.449 0.551 0.000
Au4 0.551 0.449 0.000
Au5 0.722 0.278 0.500
Au6 0.914 0.086 0.500

Properties
As for the total DFT energy (no corrections): -3.906 eV/atom.